ZnFeSb | PBE | optimized geometry

Calculated values
energy = -25.2 eV/cell
ΔE to the lowest computed polymorph = 245.7 meV/atom
space-group type = P6_3/mmc, No. 194
M_tot = 0.74 μB/atom

a b c (Å): 4.6950 4.6950 5.4084
angles (deg): 90.00 90.00 120.00
Fractional coordinates of all 6 atoms:
1 Zn 0.0000 0.0000 0.0000
2 Zn 0.0000 0.0000 0.5000
3 Fe 0.3333 0.6667 0.2500
4 Fe 0.6667 0.3333 0.7500
5 Sb 0.3333 0.6667 0.7500
6 Sb 0.6667 0.3333 0.2500

=====

ScAgSO | PBE | optimized geometry

Calculated values
energy = -50.4 eV/cell
ΔE to the lowest computed polymorph = 69.6 meV/atom
space-group type = P4mm, No. 99
M_tot = 0.00 μB/atom

a b c (Å): 3.7511 3.7511 8.9079
angles (deg): 90.00 90.00 90.00
Fractional coordinates of all 8 atoms:
1 Sc 0.0000 0.0000 0.0000
2 Sc 0.5000 0.5000 0.2204
3 Ag 0.0000 0.5000 0.6110
4 Ag 0.5000 0.0000 0.6110
5 S 0.0000 0.0000 0.3931
6 S 0.5000 0.5000 0.8285
7 O 0.0000 0.5000 0.1102
8 O 0.5000 0.0000 0.1102

=====

KBaSnAu | PBE | optimized geometry

Calculated values
energy = -11.6 eV/cell
ΔE to the lowest computed polymorph = 0.0 meV/atom
space-group type = F-43m, No. 216

a b c (Å): 5.5244 5.5244 5.5244
angles (deg): 60.00 60.00 60.00
Fractional coordinates of all 4 atoms:
1 K 0.0000 0.0000 0.0000
2 Ba 0.7500 0.7500 0.7500
3 Sn 0.2500 0.2500 0.2500
4 Au 0.5000 0.5000 0.5000

=====

Which value of ΔE to the lowest computed polymorph does entry 1 give?
245.7 meV/atom

=====

What did the first record say?
ZnFeSb | PBE | optimized geometry

Calculated values
energy = -25.2 eV/cell
ΔE to the lowest computed polymorph = 245.7 meV/atom
space-group type = P6_3/mmc, No. 194
M_tot = 0.74 μB/atom

a b c (Å): 4.6950 4.6950 5.4084
angles (deg): 90.00 90.00 120.00
Fractional coordinates of all 6 atoms:
1 Zn 0.0000 0.0000 0.0000
2 Zn 0.0000 0.0000 0.5000
3 Fe 0.3333 0.6667 0.2500
4 Fe 0.6667 0.3333 0.7500
5 Sb 0.3333 0.6667 0.7500
6 Sb 0.6667 0.3333 0.2500

=====

Which value of ΔE to the lowest computed polymorph does entry 1 give?
245.7 meV/atom